[1]
Material: BaHf2PbAu
Method: DFT, PBE-GGA
State: optimized geometry

Output
E_tot ... -4.02 eV/atom
Total magnetic moment ... 0.00 μB per cell
Fermi-level density of states ... 1.59 states/eV/atom
Theoretical density ... 8.93 g cm⁻³

abc: 5.4574 5.6074 5.4574
angles: 90.00 90.00 90.00
Atoms (fractional coordinates):
Hf (0.5000, 0.0000, 0.0000)
Hf (0.0000, 0.0000, 0.5000)
Pb (0.5000, 0.5000, 0.5000)
Ba (0.0000, 0.0000, 0.0000)
Au (0.0000, 0.5000, 0.0000)

***

[2]
Material: BaHfPt2Au
Method: DFT, PBE-GGA
State: optimized geometry

Output
E_tot ... -5.14 eV/atom
Total magnetic moment ... 0.00 μB per cell
Fermi-level density of states ... 1.03 states/eV/atom
Theoretical density ... 11.09 g cm⁻³

abc: 5.2582 4.8907 5.2582
angles: 90.00 90.00 90.00
Atoms (fractional coordinates):
Hf (0.0000, 0.5000, 0.0000)
Pt (0.5000, 0.0000, 0.0000)
Pt (0.0000, 0.0000, 0.5000)
Au (0.0000, 0.0000, 0.0000)
Ba (0.5000, 0.5000, 0.5000)

***

[3]
Material: BaHfRe2Au
Method: DFT, PBE-GGA
State: optimized geometry

Output
E_tot ... -6.13 eV/atom
Total magnetic moment ... 2.63 μB per cell
Fermi-level density of states ... 0.91 states/eV/atom
Theoretical density ... 9.43 g cm⁻³

abc: 4.8609 6.5942 4.8609
angles: 90.00 90.00 90.00
Each line ends with the local moment (μB).
Atoms (fractional coordinates):
Ba (0.0000, 0.5000, 0.0000)  -0.03
Hf (0.0000, 0.0000, 0.0000)  -0.17
Re (0.5000, 0.0000, 0.0000)  1.29
Re (0.0000, 0.0000, 0.5000)  1.06
Au (0.5000, 0.5000, 0.5000)  0.08

***

Which of these has the lowest Fermi-level density of states? BaHfRe2Au

***

Look up the E_tot of the second one. -5.14 eV/atom